Here is crystalline Ce3SiGe3 at its relaxed geometry from the Alexandria database. Energies are from GGA-PBE.

* space-group type: C2/m (12)
* calculated total energy: -82.8 eV for the cell shown
* total moment: 3.86 Bohr magnetons per cell

Lattice parameters (Å, degrees): 4.235 5.823 14.304 77.46 81.49 68.67
Site moments in Bohr magnetons follow the coordinates.
Sites, in units of the cell vectors:
Ce  0.531  0.322  0.617  0.58
Ce  0.469  0.678  0.383  0.58
Ce  0.253  0.255  0.238  0.47
Ce  0.747  0.745  0.762  0.47
Ce  0.417  0.234  0.932  0.55
Ce  0.583  0.766  0.068  0.55
Si  0.753  0.105  0.389  0.00
Si  0.247  0.895  0.611  0.00
Ge  0.858  0.742  0.543  0.01
Ge  0.142  0.258  0.457  0.01
Ge  0.145  0.799  0.911  -0.01
Ge  0.855  0.201  0.089  -0.01
Ge  0.982  0.812  0.224  -0.01
Ge  0.018  0.188  0.776  -0.01